Material: GaFeCo
Method: DFT, GGA-PBE
State: optimized geometry

Properties
spin magnetization: 1.223 μB/atom
Fermi-level density of states: 2.06 states/eV/f.u.
ΔH_f (0 K): -0.125 eV/atom
calculated total energy: -6.323 eV per atom

Cell lengths 2.9126, 2.9126, 8.5845 Å; angles 90.00, 90.00, 90.00 degrees
Closest atoms and distances in Å follow each position.
Space group I4mm (No. 107)
Asymmetric unit:
1 Ga 0.0000 0.0000 0.0000  4 Co 2.52, 5 Fe 2.56-2.78
2 Fe 0.0000 0.0000 0.3233  4 Co 2.45, 4 Ga 2.56
3 Co 0.0000 0.0000 0.6695  4 Fe 2.45, 4 Ga 2.52


Material: Ce2PrTl3Se6
Method: DFT, GGA-PBE
State: optimized geometry

Properties
energy relative to the elements, uncorrected: -1337.3 meV/atom
spin magnetization: 0.167 μB/atom
Fermi-level density of states: 13.13 states/eV/f.u.
calculated total energy: -5.058 eV per atom

Cell lengths 7.5378, 13.0568, 8.1265 Å; angles 90.00, 108.00, 90.00 degrees
Closest atoms and distances in Å follow each position.
Space group C2/m (No. 12)
Asymmetric unit:
1 Ce 0.0000 0.1668 0.0000  6 Se 2.98
2 Pr 0.0000 0.5000 0.0000  6 Se 3.01
3 Tl 0.0000 0.0000 0.5000  6 Se 3.35-3.37
4 Tl 0.0000 0.3343 0.5000  6 Se 3.36-3.37
5 Se 0.2342 0.0000 0.2098  2 Ce 2.98, 1 Pr 3.01
6 Se 0.2379 0.3322 0.2103  2 Ce 2.98, 1 Pr 3.01


Material: Pm2SiRh
Method: DFT, GGA-PBE
State: optimized geometry

Properties
energy relative to the elements, uncorrected: -771.5 meV/atom
spin magnetization: 0.000 μB/atom
Fermi-level density of states: 2.90 states/eV/f.u.
calculated total energy: -6.340 eV per atom

Cell lengths 4.1242, 4.2733, 10.6608 Å; angles 90.00, 90.00, 90.00 degrees
Closest atoms and distances in Å follow each position.
Space group Amm2 (No. 38)
Asymmetric unit:
1 Pm 0.0000 0.0000 0.0000  3 Rh 3.04-3.13, 4 Si 3.08
2 Pm 0.5000 0.0000 0.2817  4 Rh 3.05, 3 Si 3.06-3.14
3 Si 0.5000 0.0000 0.5760  2 Rh 2.54
4 Rh 0.0000 0.0000 0.7145  2 Si 2.54


Material: UTc2Ni
Method: DFT, GGA-PBE
State: optimized geometry

Properties
spin magnetization: 0.000 μB/atom
Fermi-level density of states: 3.42 states/eV/f.u.
ΔH_f (0 K): -0.179 eV/atom
relative energy among the computed polymorphs: 0 meV per atom
calculated total energy: -9.629 eV per atom

Cell lengths 4.0752, 4.0752, 3.7292 Å; angles 90.00, 90.00, 90.00 degrees
Closest atoms and distances in Å follow each position.
Space group P4/mmm (No. 123)
Asymmetric unit:
1 U 0.0000 0.0000 0.0000  8 Tc 2.76, 4 Ni 2.88
2 Tc 0.0000 0.5000 0.5000  4 Ni 2.76, 4 U 2.76, 4 Tc 2.88
3 Ni 0.5000 0.5000 0.0000  8 Tc 2.76, 4 U 2.88